Compound: NdSi3Ir3
Source: the Alexandria database
Functional: PBE-GGA
Structure: relaxed

Output
relative energy among the computed polymorphs	0.69	eV per formula unit
SG	Pm-3n (223)
uncorrected formation energy	-0.49	eV per atom
ρ	9.47	Mg/m³

a b c (Å): 6.560 6.560 6.560
angles (deg): 90.00 90.00 90.00
Sites, in units of the cell vectors:
1 Nd 0.500 0.500 0.500
2 Nd 0.000 0.000 0.000
3 Ir 0.000 0.500 0.750
4 Ir 0.750 0.000 0.500
5 Ir 0.250 0.000 0.500
6 Ir 0.500 0.750 0.000
7 Ir 0.000 0.500 0.250
8 Ir 0.500 0.250 0.000
9 Si 0.250 0.500 0.000
10 Si 0.000 0.750 0.500
11 Si 0.750 0.500 0.000
12 Si 0.500 0.000 0.750
13 Si 0.500 0.000 0.250
14 Si 0.000 0.250 0.500